1.
CeTh2Si2Ir7: optimized geometry, PBE-GGA.

Structure (extended XYZ):
```
12
Lattice="4.087 0.017 -0.105 0.021 4.087 -0.105 1.628 1.626 13.256" Properties=species:S:1:pos:R:3 pbc="T T T"
Si 3.598 3.593 9.798
Ir 3.615 1.582 11.082
Ir 1.586 3.613 11.082
Ir 4.151 2.117 1.964
Ir 2.054 2.052 -0.105
Ir 2.221 2.219 5.588
Si 2.139 2.136 3.247
Th 4.261 4.256 4.424
Ce 0.000 0.000 0.000
Ir 3.515 3.511 7.458
Th 1.476 1.474 8.621
Ir 2.122 4.148 1.964
```

The uncorrected formation energy is -830 meV/atom. The space group is C2/m.

2.
Ce2Th2Si4Ir: optimized geometry, PBE-GGA.

Structure (extended XYZ):
```
9
Lattice="-3.014 -3.647 -4.408 5.546 -2.558 2.124 -3.308 0.658 5.517" Properties=species:S:1:pos:R:3 pbc="T T T"
Si 3.410 -1.782 2.942
Ce 1.500 -1.273 5.121
Th -2.601 -1.969 2.465
Si 0.138 -3.329 3.516
Th 1.826 -3.577 0.768
Ir 0.000 0.000 0.000
Si -0.914 -2.217 -0.283
Si -1.172 -0.117 4.698
Ce 0.738 -0.626 2.519
```

The uncorrected formation energy is -395 meV/atom. The space group is I4/mmm.

3.
Ce2TiSi4Ir3: optimized geometry, PBE-GGA.

Structure (extended XYZ):
```
10
Lattice="-1.954 3.493 -1.028 0.222 -1.050 -3.991 -9.093 -4.858 0.773" Properties=species:S:1:pos:R:3 pbc="T T T"
Ir -1.004 -1.121 -1.901
Ce -3.163 0.579 -0.328
Ce -6.796 -4.215 -1.408
Ir -4.546 -2.429 0.387
Si -0.866 1.222 -2.509
Si -6.824 -1.377 -0.016
Si -3.134 -2.259 -1.719
Ti -5.412 -1.207 -2.122
Si 0.000 0.000 0.000
Ir -8.955 -2.516 0.165
```

The uncorrected formation energy is -956 meV/atom. The space group is P-4m2.

4.
CeTiSi2Ir5: optimized geometry, PBE-GGA.

Structure (extended XYZ):
```
9
Lattice="4.044 0.000 0.000 0.000 4.044 0.000 0.000 0.000 10.333" Properties=species:S:1:pos:R:3 pbc="T T T"
Ce 0.000 0.000 5.167
Ir 0.000 2.022 8.724
Si 2.022 2.022 7.521
Ir 2.022 2.022 5.167
Ir 2.022 0.000 8.724
Ir 0.000 2.022 1.609
Si 2.022 2.022 2.812
Ir 2.022 0.000 1.609
Ti 0.000 0.000 0.000
```

The uncorrected formation energy is -548 meV/atom. The space group is P4/mmm.

5.
Ce2Tm2SiIr4: optimized geometry, PBE-GGA.

Structure (extended XYZ):
```
9
Lattice="-4.838 -0.331 -4.194 5.882 -1.987 -1.601 0.234 -3.922 5.066" Properties=species:S:1:pos:R:3 pbc="T T T"
Ir 1.705 -3.419 3.330
Tm 2.051 -2.636 -2.031
Tm -0.773 -3.604 1.302
Ce 4.246 -4.103 2.406
Ce 1.870 -1.807 1.060
Ir -0.927 -1.711 -1.282
Ir 4.411 -2.491 0.135
Ir 2.205 -4.529 0.553
Si 0.000 0.000 0.000
```

The uncorrected formation energy is -439 meV/atom. The space group is I4/mmm.

6.
Ce2Tm2Si4Ir: optimized geometry, PBE-GGA.

Structure (extended XYZ):
```
9
Lattice="6.385 0.305 0.440 -2.797 5.748 -0.440 -2.797 -2.431 5.227" Properties=species:S:1:pos:R:3 pbc="T T T"
Si -2.797 3.769 0.931
Ce -3.748 2.222 3.207
Si -2.797 -0.453 3.856
Si -0.945 2.672 3.856
Si 1.735 0.950 1.371
Tm 0.395 -0.234 4.030
Ce -1.847 1.095 1.580
Tm 0.395 3.855 1.197
Ir 0.000 0.000 0.000
```

The uncorrected formation energy is -374 meV/atom. The space group is I4/mmm.